# 1
# PaAlGaN

A relaxed structure of PaAlGaN (PBE-GGA, the Alexandria database).

The uncorrected formation energy is -0.91 eV/atom. The calculation puts the density at 8.44 g cm⁻³.

Cell: 4.039 4.039 8.242 Å, 90.00 90.00 90.00°
Positions (direct):
Pa (0.000, 0.500, 0.862)
Pa (0.500, 0.000, 0.138)
Al (0.000, 0.000, 0.500)
Al (0.500, 0.500, 0.500)
Ga (0.500, 0.000, 0.699)
Ga (0.000, 0.500, 0.301)
N (0.500, 0.500, 0.000)
N (0.000, 0.000, 0.000)


# 2
# MnMo2Ru

A relaxed structure of MnMo2Ru (PBE-GGA, the Alexandria database).

As for the formation energy from the elements: 0.13 eV per atom. For the energy above the lowest structure with this stoichiometry, the calculation gives 0.062 eV/atom. The calculation puts the density at 9.89 g cm⁻³.

Cell: 4.217 2.711 5.264 Å, 75.98 90.00 90.00°
Positions (direct):
Mn (0.500, 0.750, 0.750)
Mo (0.000, 0.990, 0.995)
Mo (0.000, 0.510, 0.505)
Ru (0.500, 0.250, 0.250)


# 3
# Ti2Co2Sn

A relaxed structure of Ti2Co2Sn (PBE-GGA, the Alexandria database).

As for the formation energy from the elements: -0.36 eV per atom. The calculation puts the density at 7.69 g cm⁻³.

Cell: 4.206 4.206 5.279 Å, 66.53 66.53 60.00°
Positions (direct):
Ti (0.711, 0.711, 0.867)
Ti (0.289, 0.289, 0.133)
Co (0.910, 0.910, 0.271)
Co (0.090, 0.090, 0.729)
Sn (0.500, 0.500, 0.500)


# 4
# RhPb5

A relaxed structure of RhPb5 (PBE-GGA, the Alexandria database).

As for the formation energy from the elements: 0.02 eV per atom. For the energy above the lowest structure with this stoichiometry, the calculation gives 0.012 eV/atom. The calculation puts the density at 11.53 g cm⁻³.

Cell: 3.473 3.473 13.594 Å, 90.00 90.00 90.00°
Positions (direct):
Pb (0.000, 0.000, 0.879)
Pb (0.000, 0.000, 0.121)
Pb (0.500, 0.500, 0.682)
Pb (0.500, 0.500, 0.318)
Pb (0.000, 0.000, 0.500)
Rh (0.500, 0.500, 0.000)


# 5
# ZnAsPSe2

A relaxed structure of ZnAsPSe2 (PBE-GGA, the Alexandria database).

The uncorrected formation energy is 0.88 eV/atom. For the energy above the lowest structure with this stoichiometry, the calculation gives 0.303 eV/atom. The calculation puts the density at 4.85 g cm⁻³.

Cell: 4.826 4.826 4.835 Å, 90.00 90.00 90.00°
Positions (direct):
P (0.500, 0.500, 0.500)
As (0.000, 0.000, 0.500)
Zn (0.000, 0.000, 0.000)
Se (0.000, 0.500, 0.000)
Se (0.500, 0.000, 0.000)


# 6
# Fe3PSe

A relaxed structure of Fe3PSe (PBE-GGA, the Alexandria database).

The uncorrected formation energy is 0.38 eV/atom. For the energy above the lowest structure with this stoichiometry, the calculation gives 0.000 eV/atom. The calculation puts the density at 6.03 g cm⁻³.

Cell: 4.244 4.244 4.244 Å, 90.00 90.00 90.00°
Positions (direct):
P (0.000, 0.000, 0.000)
Fe (0.000, 0.500, 0.000)
Fe (0.000, 0.000, 0.500)
Fe (0.500, 0.000, 0.000)
Se (0.500, 0.500, 0.500)